## Dy2Ni (PBE-GGA)

Data for a relaxed Dy2Ni crystal.

Cell: 12.2628 3.6391 7.9605 Å, 90.00 125.65 90.00°
Space group C2/m (No. 12)
Symmetry-distinct sites (fractional):
Dy: 0.0877 0.0000 0.3889 x4
Dy: 0.1664 0.5000 0.0739 x4
Ni: 0.1247 0.5000 0.6846 x4

Computed properties:
The total magnetic moment is 0.00 μB per formula unit. The density of states at the Fermi level comes out at 12.6 states/eV/cell. Its final energy is -5.303 eV per atom.

***

## Dy3Ni2 (PBE-GGA)

Data for a relaxed Dy3Ni2 crystal.

Cell: 4.3381 14.2239 3.6536 Å, 90.00 90.00 90.00°
Space group Cmmm (No. 65)
Symmetry-distinct sites (fractional):
Dy: 0.0000 0.0000 0.0000 x2
Dy: 0.0000 0.3476 0.5000 x4
Ni: 0.0000 0.1972 0.0000 x4

Computed properties:
The total magnetic moment is 0.00 μB per formula unit. The density of states at the Fermi level comes out at 9.3 states/eV/cell. The value obtained for the excess energy over the best structure of this formula in the dataset is 0.15 eV per formula unit. Its final energy is -5.416 eV per atom.

***

Number 1: E_form -0.31 eV/atom. Number 2: E_form -0.34 eV/atom.